[1]
First-principles (PBE) data for a geometry-optimized HfPaFeNi structure, as listed in Alexandria.

Geometry as POSCAR:
```
HfPaFeNi
1.0
4.6021 0.0000 0.0000
2.3011 3.9856 0.0000
2.3011 1.3285 3.7576
Ni Pa Hf Fe
1 1 1 1
direct
0.2500 0.2500 0.2500
0.5000 0.5000 0.5000
0.0000 0.0000 0.0000
0.7500 0.7500 0.7500
```

***

[2]
First-principles (PBE) data for a geometry-optimized RbHfFeNi2 structure, as listed in Alexandria.

Geometry as POSCAR:
```
RbHfFeNi2
1.0
-3.1444 -1.0997 2.9897
3.0616 -3.6497 1.8776
1.7277 2.9406 2.8988
Ni Hf Fe Rb
2 1 1 1
direct
0.0000 0.0000 0.5000
0.5000 0.0000 0.0000
0.0000 0.5000 0.0000
0.5000 0.5000 0.5000
0.0000 0.0000 0.0000
```

***

[3]
First-principles (PBE) data for a geometry-optimized HfScFeNi structure, as listed in Alexandria.

For the energy relative to the lowest polymorph listed for this composition, the calculation gives 11.9 kJ/mol of formula units.

Geometry as POSCAR:
```
HfScFeNi
1.0
4.4489 0.0000 0.0000
2.2244 3.8528 0.0000
2.2244 1.2843 3.6325
Sc Ni Hf Fe
1 1 1 1
direct
0.5000 0.5000 0.5000
0.2500 0.2500 0.2500
0.0000 0.0000 0.0000
0.7500 0.7500 0.7500
```

***

[4]
First-principles (PBE) data for a geometry-optimized HfScFeNi structure, as listed in Alexandria.

For the energy relative to the lowest polymorph listed for this composition, the calculation gives 0.0 kJ/mol of formula units.

Geometry as POSCAR:
```
HfScFeNi
1.0
-1.1496 -2.4066 -1.6456
0.0776 -1.7935 2.5688
-5.9385 1.8371 1.4620
Hf Sc Fe Ni
1 1 1 1
direct
0.0000 0.0000 0.3487
0.0000 0.0000 0.8627
0.5000 0.5000 0.1177
0.5000 0.5000 0.5990
```

***

| no. | E_form (meV/atom) |
| --- | --- |
| 1 | -141 |
| 2 | 2448 |
| 3 | -336 |
| 4 | -367 |